Record 1
8
Lattice="-0.544 0.253 -3.251 -2.895 -4.458 1.817 -7.453 5.524 1.678" Properties=species:S:1:pos:R:3 comment="HfZr2Ir | Alexandria | GGA-PBE | optimized geometry" dos_ef_per_ev_cell=8.38 e_above_lowest_polymorph_ev_per_atom=0.000 m_tot_mub_per_fu=0.00 e_form_mev_per_atom=-487 pbc="T T T"
Zr -9.440 2.073 1.743
Hf -4.821 -2.166 -1.044
Hf -6.072 3.484 1.288
Ir -7.602 1.890 -0.261
Zr -6.409 -0.174 1.061
Zr -4.484 1.492 -0.816
Ir -3.291 -0.571 0.506
Zr -1.453 -0.754 -1.499

***

Record 2
4
Lattice="-0.157 -5.122 3.432 0.816 -4.649 -3.970 2.724 4.972 2.428" Properties=species:S:1:pos:R:3 comment="SrTaTe2 | Alexandria | GGA-PBE | optimized geometry" dos_ef_per_ev_cell=2.82 e_above_lowest_polymorph_ev_per_atom=0.192 m_tot_mub_per_fu=0.00 formation_energy_uncorrected_ev_per_atom=-0.275 pbc="T T T"
Sr 1.448 -2.517 2.795
Te 0.297 -4.401 -0.242
Ta 1.935 -2.281 -0.906
Te 0.033 -0.484 -0.027

***

Record 3
8
Lattice="-0.893 0.135 4.105 0.701 -4.134 0.288 9.640 -0.205 4.254" Properties=species:S:1:pos:R:3 comment="TaRuPb2 | Alexandria | GGA-PBE | optimized geometry" dos_ef_per_ev_cell=9.38 e_above_lowest_polymorph_ev_per_atom=0.784 m_tot_mub_per_fu=0.00 e_form_mev_per_atom=880 pbc="T T T"
Pb 2.733 -2.617 1.775
Ta 4.326 -1.035 5.278
Pb 7.161 -1.671 4.840
Ta 0.000 0.000 0.000
Pb 7.059 -3.634 7.034
Ru -0.096 -1.999 2.197
Pb 1.944 -0.484 3.647
Ru 5.123 -3.169 3.370